Entry from Alexandria: a relaxed structure of La2MgRh (PBE).

a = 8.9273 Å, b = 8.9273 Å, c = 8.9273 Å
α = 26.81°, β = 26.81°, γ = 26.81°
Positions (direct):
La 0.0000 0.0000 0.0000
La 0.2099 0.2099 0.2099
Mg 0.4384 0.4384 0.4384
Rh 0.6044 0.6044 0.6044

Values from the calculation:
Formation energy from the elements in eV/atom: -0.37
V in Å³/cell: 127.7

---

Entry from Alexandria: a relaxed structure of La2MgRh (PBE).

a = 3.8173 Å, b = 6.5402 Å, c = 6.5402 Å
α = 43.40°, β = 90.00°, γ = 90.00°
Positions (direct):
La 0.0000 0.0000 0.0000
La 0.5000 0.3056 0.3056
Mg 0.0000 0.6917 0.6917
Rh 0.5000 0.5256 0.5256

Values from the calculation:
Formation energy from the elements in eV/atom: -0.37
V in Å³/cell: 112.2

---

Entry from Alexandria: a relaxed structure of LaMg3Rh4 (PBE).

a = 4.5763 Å, b = 4.5763 Å, c = 6.5159 Å
α = 90.00°, β = 90.00°, γ = 90.00°
Positions (direct):
La 0.0000 0.0000 0.0000
Mg 0.0000 0.0000 0.5000
Mg 0.5000 0.5000 0.0000
Mg 0.5000 0.5000 0.5000
Rh 0.0000 0.5000 0.2658
Rh 0.0000 0.5000 0.7342
Rh 0.5000 0.0000 0.2658
Rh 0.5000 0.0000 0.7342

Values from the calculation:
Formation energy from the elements in eV/atom: -0.52
V in Å³/cell: 136.5

---

Entry from Alexandria: a relaxed structure of LaMg5Rh2 (PBE).

a = 6.7803 Å, b = 6.7803 Å, c = 6.7803 Å
α = 144.24°, β = 103.46°, γ = 87.46°
Positions (direct):
La 0.0000 0.0000 0.0000
Mg 0.1518 0.3337 0.8181
Mg 0.4844 0.6663 0.8181
Mg 0.5000 0.0000 0.5000
Mg 0.5156 0.3337 0.1819
Mg 0.8482 0.6663 0.1819
Rh 0.2269 0.7269 0.5000
Rh 0.7731 0.2731 0.5000

Values from the calculation:
Formation energy from the elements in eV/atom: -0.41
V in Å³/cell: 171.3

---

Entry from Alexandria: a relaxed structure of LaMg2Rh (PBE).

a = 5.7392 Å, b = 5.7392 Å, c = 5.7392 Å
α = 141.45°, β = 124.97°, γ = 69.19°
Positions (direct):
La 0.0000 0.0000 0.0000
Mg 0.2981 0.7981 0.5000
Mg 0.5981 0.5981 0.0000
Rh 0.7965 0.2965 0.5000

Values from the calculation:
Formation energy from the elements in eV/atom: -0.23
V in Å³/cell: 94.9

---

Entry from Alexandria: a relaxed structure of La2MgRh (PBE).

a = 5.8785 Å, b = 5.8785 Å, c = 5.8785 Å
α = 138.84°, β = 123.32°, γ = 72.41°
Positions (direct):
La 0.2010 0.2010 0.0000
La 0.7990 0.7990 0.0000
Mg 0.5000 0.0000 0.5000
Rh 0.0000 0.5000 0.5000

Values from the calculation:
Formation energy from the elements in eV/atom: -0.35
V in Å³/cell: 109.4

---

Entry from Alexandria: a relaxed structure of La4MgRh2 (PBE).

a = 7.6611 Å, b = 7.6669 Å, c = 8.1877 Å
α = 105.24°, β = 105.39°, γ = 95.12°
Positions (direct):
La 0.0000 0.0000 0.0000
La 0.0006 0.4370 0.8658
La 0.0159 0.0236 0.5068
La 0.5181 0.5288 0.5179
La 0.5243 0.5277 0.0110
La 0.5374 0.0548 0.1545
La 0.5404 0.0546 0.6542
La 0.9397 0.4989 0.3644
Mg 0.2553 0.7768 0.7619
Mg 0.2720 0.7602 0.2622
Rh 0.2606 0.1595 0.8635
Rh 0.6570 0.7746 0.3657
Rh 0.7563 0.2711 0.5126
Rh 0.7648 0.2595 0.0130

Values from the calculation:
Formation energy from the elements in eV/atom: -0.44
V in Å³/cell: 440.8

---

Entry from Alexandria: a relaxed structure of LaMg4Rh2 (PBE).

a = 8.4299 Å, b = 8.4299 Å, c = 4.0847 Å
α = 90.00°, β = 90.00°, γ = 90.00°
Positions (direct):
La 0.0000 0.0000 0.0000
La 0.5000 0.5000 0.5000
Mg 0.0996 0.3384 0.5000
Mg 0.1616 0.5996 0.0000
Mg 0.3384 0.0996 0.5000
Mg 0.4004 0.8384 0.0000
Mg 0.5996 0.1616 0.0000
Mg 0.6616 0.9004 0.5000
Mg 0.8384 0.4004 0.0000
Mg 0.9004 0.6616 0.5000
Rh 0.1889 0.8111 0.5000
Rh 0.3111 0.3111 0.0000
Rh 0.6889 0.6889 0.0000
Rh 0.8111 0.1889 0.5000

Values from the calculation:
Formation energy from the elements in eV/atom: -0.46
V in Å³/cell: 290.3

---

> Number 1 is which compound?

La2MgRh